Entry 1:
# CdAs2Au2 GGA-PBE relaxed
# Spin magnetization in μB/f.u.: 0.00
# Energy of formation from the pure elements in kcal/mol of atoms: 4.4
# Relative energy among the computed polymorphs in meV per atom: 62
# D(E_F) in states/eV/cell: 4.79
# Density in Mg/m³: 10.5
data_CdAs2Au2
_chemical_formula_sum 'Cd2 As4 Au4'
_cell_length_a 7.543
_cell_length_b 7.543
_cell_length_c 3.661
_cell_angle_alpha 90.00
_cell_angle_beta 90.00
_cell_angle_gamma 90.00
_symmetry_space_group_name_H-M 'P 4/m b m'
_symmetry_Int_Tables_number 127
_symmetry_space_group_name_Hall '-P 4 2ab'
loop_
_atom_site_label
_atom_site_fract_x
_atom_site_fract_y
_atom_site_fract_z
Cd1 0.000 0.000 0.000
As1 0.178 0.322 0.000
Au1 0.134 0.634 0.500

Entry 2:
# CdAs2Au GGA-PBE relaxed
# Spin magnetization in μB/f.u.: 0.00
# Energy of formation from the pure elements in kcal/mol of atoms: 3.1
# D(E_F) in states/eV/cell: 2.58
# Density in Mg/m³: 8.9
data_CdAs2Au
_chemical_formula_sum 'Cd2 As4 Au2'
_cell_length_a 3.584
_cell_length_b 4.066
_cell_length_c 11.798
_cell_angle_alpha 90.00
_cell_angle_beta 90.00
_cell_angle_gamma 90.00
_symmetry_space_group_name_H-M 'I m m 2'
_symmetry_Int_Tables_number 44
_symmetry_space_group_name_Hall 'I 2 -2'
loop_
_atom_site_label
_atom_site_fract_x
_atom_site_fract_y
_atom_site_fract_z
Cd1 0.000 0.000 0.000
As1 0.000 0.000 0.399
As2 0.000 0.500 0.738
Au1 0.000 0.500 0.175

Entry 3:
# CdAsAu14 GGA-PBE relaxed
# Spin magnetization in μB/f.u.: 0.00
# Energy of formation from the pure elements in kcal/mol of atoms: 0.5
# D(E_F) in states/eV/cell: 11.75
# Density in Mg/m³: 16.7
data_CdAsAu14
_chemical_formula_sum 'Cd2 As2 Au28'
_cell_length_a 9.508
_cell_length_b 5.942
_cell_length_c 10.385
_cell_angle_alpha 90.00
_cell_angle_beta 90.00
_cell_angle_gamma 90.00
_symmetry_space_group_name_H-M 'A m m 2'
_symmetry_Int_Tables_number 38
_symmetry_space_group_name_Hall 'A 2 -2'
loop_
_atom_site_label
_atom_site_fract_x
_atom_site_fract_y
_atom_site_fract_z
Cd1 0.000 0.000 0.000
As1 0.000 0.000 0.498
Au1 0.000 0.249 0.750
Au2 0.250 0.000 0.167
Au3 0.250 0.000 0.667
Au4 0.251 0.250 0.417
Au5 0.500 0.000 0.332
Au6 0.500 0.000 0.832
Au7 0.500 0.250 0.083

Entry 4:
# Cd2AsAu GGA-PBE relaxed
# Spin magnetization in μB/f.u.: 0.00
# Energy of formation from the pure elements in kcal/mol of atoms: 0.7
# D(E_F) in states/eV/cell: 1.45
# Density in Mg/m³: 9.6
data_Cd2AsAu
_chemical_formula_sum 'Cd2 As1 Au1'
_cell_length_a 3.779
_cell_length_b 3.994
_cell_length_c 5.708
_cell_angle_alpha 90.00
_cell_angle_beta 90.00
_cell_angle_gamma 90.00
_symmetry_space_group_name_H-M 'P m m 2'
_symmetry_Int_Tables_number 25
_symmetry_space_group_name_Hall 'P 2 -2'
loop_
_atom_site_label
_atom_site_fract_x
_atom_site_fract_y
_atom_site_fract_z
Cd1 0.000 0.000 0.000
Cd2 0.500 0.500 0.332
As1 0.000 0.000 0.500
Au1 0.500 0.500 0.837

Entry 5:
# Cd2AsAu GGA-PBE relaxed
# Spin magnetization in μB/f.u.: 0.00
# Energy of formation from the pure elements in kcal/mol of atoms: 0.8
# D(E_F) in states/eV/cell: 2.58
# Density in Mg/m³: 10.1
data_Cd2AsAu
_chemical_formula_sum 'Cd4 As2 Au2'
_cell_length_a 4.472
_cell_length_b 4.472
_cell_length_c 8.150
_cell_angle_alpha 90.00
_cell_angle_beta 90.00
_cell_angle_gamma 90.00
_symmetry_space_group_name_H-M 'I 4/m m m'
_symmetry_Int_Tables_number 139
_symmetry_space_group_name_Hall '-I 4 2'
loop_
_atom_site_label
_atom_site_fract_x
_atom_site_fract_y
_atom_site_fract_z
Cd1 0.000 0.500 0.250
As1 0.000 0.000 0.000
Au1 0.000 0.000 0.500

Entry 6:
# CdAsAu3 GGA-PBE relaxed
# Spin magnetization in μB/f.u.: 0.00
# Energy of formation from the pure elements in kcal/mol of atoms: 21.3
# Relative energy among the computed polymorphs in meV per atom: 639
# D(E_F) in states/eV/cell: 3.49
# Density in Mg/m³: 9.8
data_CdAsAu3
_chemical_formula_sum 'Cd1 As1 Au3'
_cell_length_a 5.097
_cell_length_b 5.097
_cell_length_c 5.097
_cell_angle_alpha 90.00
_cell_angle_beta 90.00
_cell_angle_gamma 90.00
_symmetry_space_group_name_H-M 'P m -3 m'
_symmetry_Int_Tables_number 221
_symmetry_space_group_name_Hall '-P 4 2 3'
loop_
_atom_site_label
_atom_site_fract_x
_atom_site_fract_y
_atom_site_fract_z
Cd1 0.000 0.000 0.000
As1 0.500 0.500 0.500
Au1 0.000 0.000 0.500